(1)
Material: Na2MgP2Pd5
Method: DFT, GGA-PBE
State: optimized geometry

As for the formation energy: -0.47 eV per atom. The magnetic moment comes out at 0.000 μB/cell.

The structure belongs to space group P4/mbm (No. 127); the cell edges are 10.136, 10.136 and 3.304 Å and the angles 90.00°, 90.00° and 90.00°. Symmetry generates all atoms from Na at (0.174, 0.326, 0.000), Mg at (0.000, 0.000, 0.000), P at (0.127, 0.627, 0.000), Pd at (0.000, 0.500, 0.500) and Pd at (0.068, 0.787, 0.500).



(2)
Material: LiReBr
Method: DFT, GGA-PBE
State: optimized geometry

The value obtained for the formation energy from raw total energies is 0.721 eV per atom. As for the energy relative to the lowest polymorph listed for this composition: 121.5 meV/atom. The magnetic moment comes out at 2.076 μB/cell.

The structure belongs to space group Fmm2 (No. 42); the cell edges are 2.987, 5.265 and 13.130 Å and the angles 90.00°, 90.00° and 90.00°. Symmetry generates all atoms from Li at (0.000, 0.000, 0.000), Re at (0.000, 0.000, 0.672) and Br at (0.000, 0.000, 0.336).



(3)
Material: YRe3Tc
Method: DFT, GGA-PBE
State: optimized geometry

As for the formation energy: 3.35 eV per atom. As for the energy relative to the lowest polymorph listed for this composition: 2017.1 meV/atom. The magnetic moment comes out at 0.000 μB/cell.

The structure belongs to space group Pm-3m (No. 221); the cell edges are 4.683, 4.683 and 4.683 Å and the angles 90.00°, 90.00° and 90.00°. Symmetry generates all atoms from Y at (0.000, 0.000, 0.000), Re at (0.000, 0.000, 0.500) and Tc at (0.500, 0.500, 0.500).



(4)
Material: CsErRhCl6
Method: DFT, GGA-PBE
State: optimized geometry

The value obtained for the formation energy from raw total energies is -1.584 eV per atom. The magnetic moment comes out at 1.997 μB/cell.

The structure belongs to space group C2 (No. 5); the cell edges are 6.741, 11.175 and 8.036 Å and the angles 90.00°, 93.07° and 90.00°. Symmetry generates all atoms from Cs at (0.000, 0.000, 0.000), Er at (0.000, 0.338, 0.500), Rh at (0.000, 0.682, 0.500), Cl at (0.140, 0.527, 0.674), Cl at (0.172, 0.830, 0.670) and Cl at (0.188, 0.201, 0.712).